Model a:
Mg2PdRu2 | PBE-GGA | relaxed

Unit cell a=6.645 b=6.645 c=3.926 alpha=90.00 beta=90.00 gamma=90.00
Space group P4/mbm (No. 127)
Unique sites:
Mg (0.177, 0.323, 0.000)
Pd (0.000, 0.000, 0.500)
Ru (0.123, 0.623, 0.500)

Calculated values
Mass density, Mg/m³: 6.8
D(E_F), states/eV per cell: 12.92

Model b:
Mg2PdRu2 | PBE-GGA | relaxed

Unit cell a=3.442 b=3.442 c=15.134 alpha=90.00 beta=90.00 gamma=90.00
Space group I4/mmm (No. 139)
Unique sites:
Mg (0.000, 0.000, 0.098)
Pd (0.000, 0.000, 0.500)
Ru (0.000, 0.500, 0.250)

Calculated values
Mass density, Mg/m³: 6.6
D(E_F), states/eV per cell: 8.25

Which structure loses on stability? model a does.